Here is a relaxed Mg2ZrW crystal from the Alexandria database. Energies are from GGA-PBE.

```
Mg2ZrW
1.0
-3.793 3.518 -0.152
-4.516 1.644 1.921
2.081 3.445 3.842
Mg W Zr
2 1 1
direct
0.002 0.002 0.982
0.758 0.758 0.759
0.499 0.499 0.472
0.240 0.240 0.287
```

Values from the calculation:
excess energy over the best structure of this formula in the dataset	0.132	eV/atom
energy of formation	1.339	eV per formula unit
total moment	0.000	μB per formula unit
DOS at the Fermi energy	2.55	states/eV per cell
SG	Cm, No. 8

---

Here is a relaxed ZnSbW2 crystal from the Alexandria database. Energies are from GGA-PBE.

```
ZnSbW2
1.0
2.880 0.014 0.000
-0.919 2.729 0.000
0.000 0.000 8.826
Sb W Zn
1 2 1
direct
0.500 0.500 0.750
0.000 0.000 0.009
0.000 0.000 0.491
0.500 0.500 0.250
```

Values from the calculation:
excess energy over the best structure of this formula in the dataset	0.491	eV/atom
total moment	0.000	μB per formula unit
ΔE_f (raw)	0.807	eV/atom
DOS at the Fermi energy	3.23	states/eV per cell
SG	Cmmm, No. 65

---

Here is a relaxed Tm6Rh2C crystal from the Alexandria database. Energies are from GGA-PBE.

```
Tm6Rh2C
1.0
-5.287 0.241 3.638
3.640 -2.451 5.452
1.951 8.651 2.587
Tm Rh C
12 4 2
direct
0.116 0.041 0.255
0.172 0.303 0.560
0.191 0.326 0.943
0.309 0.826 0.557
0.328 0.803 0.940
0.384 0.541 0.245
0.884 0.959 0.745
0.828 0.697 0.440
0.809 0.674 0.057
0.691 0.174 0.443
0.672 0.197 0.060
0.616 0.459 0.755
0.033 0.592 0.754
0.467 0.092 0.746
0.533 0.908 0.254
0.967 0.408 0.246
0.500 0.500 0.000
0.000 0.000 0.500
```

Values from the calculation:
energy of formation	-5.226	eV per formula unit
total moment	0.000	μB per formula unit
DOS at the Fermi energy	13.14	states/eV per cell
SG	P2_1/c, No. 14

---

Here is a relaxed Sc8CoCu2 crystal from the Alexandria database. Energies are from GGA-PBE.

```
Sc8CoCu2
1.0
-3.815 2.619 -1.041
-1.847 -4.322 -4.101
-1.182 -3.006 7.573
Sc Co Cu
8 1 2
direct
0.407 0.563 0.814
0.665 0.970 0.329
0.803 0.693 0.607
0.971 0.207 0.941
0.197 0.307 0.393
0.335 0.030 0.671
0.593 0.437 0.186
0.029 0.793 0.059
0.500 0.000 0.000
0.818 0.293 0.636
0.182 0.707 0.364
```

Values from the calculation:
excess energy over the best structure of this formula in the dataset	0.000	eV/atom
energy of formation	-2.032	eV per formula unit
total moment	0.002	μB per formula unit
DOS at the Fermi energy	8.15	states/eV per cell
SG	C2/m, No. 12

---

Here is a relaxed LaY2Tm3 crystal from the Alexandria database. Energies are from GGA-PBE.

```
LaY2Tm3
1.0
5.028 0.000 0.000
-2.514 7.589 0.000
0.000 0.000 10.051
La Y Tm
2 4 6
direct
0.169 0.338 0.250
0.831 0.662 0.750
0.000 0.000 0.000
0.000 0.000 0.500
0.498 0.995 0.250
0.502 0.005 0.750
0.667 0.334 0.999
0.166 0.331 0.750
0.667 0.334 0.501
0.834 0.669 0.250
0.333 0.666 0.001
0.333 0.666 0.499
```

Values from the calculation:
excess energy over the best structure of this formula in the dataset	0.000	eV/atom
energy of formation	0.209	eV per formula unit
total moment	0.000	μB per formula unit
DOS at the Fermi energy	18.31	states/eV per cell
SG	Cmcm, No. 63

---

Here is a relaxed BaPa4N8 crystal from the Alexandria database. Energies are from GGA-PBE.

```
BaPa4N8
1.0
-4.137 2.539 5.097
2.339 -0.792 6.591
2.258 5.835 3.224
Ba Pa N
1 4 8
direct
0.000 0.000 0.000
0.500 0.500 0.500
0.500 0.500 0.000
0.000 0.500 0.500
0.500 0.000 0.500
0.663 0.274 0.274
0.274 0.274 0.663
0.274 0.663 0.274
0.276 0.276 0.276
0.724 0.724 0.724
0.726 0.726 0.337
0.726 0.337 0.726
0.337 0.726 0.726
```

Values from the calculation:
excess energy over the best structure of this formula in the dataset	0.275	eV/atom
total moment	1.882	μB per formula unit
ΔE_f (raw)	-1.070	eV/atom
DOS at the Fermi energy	10.35	states/eV per cell
SG	R-3m, No. 166